Density functional theory data (PBE-GGA) for a geometry-optimized Tb3Ho12In structure.

Cell lengths 4.9359, 4.9359, 20.0159 Å; angles 90.00, 90.00, 90.00 degrees
Last column: nearest neighbours and their distance in Å.
Sites, in units of the cell vectors:
Ho 0.5000 0.5000 0.2444  4 Tb 3.49, 8 Ho 3.49-3.57
Ho 0.5000 0.5000 0.7556  4 Tb 3.49, 8 Ho 3.49-3.57
Ho 0.5000 0.0000 0.8791  8 Ho 3.46-3.49, 2 In 3.46, 2 Tb 3.55
Ho 0.5000 0.0000 0.3734  8 Ho 3.49-3.57, 4 Tb 3.51-3.54
Ho 0.0000 0.5000 0.6266  8 Ho 3.49-3.57, 4 Tb 3.51-3.54
Ho 0.5000 0.0000 0.1209  8 Ho 3.46-3.49, 2 In 3.46, 2 Tb 3.55
Ho 0.5000 0.5000 0.0000  8 Ho 3.46, 4 In 3.49
Ho 0.0000 0.5000 0.3734  8 Ho 3.49-3.57, 4 Tb 3.51-3.54
Ho 0.0000 0.5000 0.8791  2 In 3.46, 8 Ho 3.46-3.49, 2 Tb 3.55
Ho 0.5000 0.0000 0.6266  8 Ho 3.49-3.57, 4 Tb 3.51-3.54
Ho 0.5000 0.5000 0.5000  4 Tb 3.49, 8 Ho 3.54
Ho 0.0000 0.5000 0.1209  2 In 3.46, 8 Ho 3.46-3.49, 2 Tb 3.55
Tb 0.0000 0.0000 0.5000  12 Ho 3.49-3.54
Tb 0.0000 0.0000 0.2484  12 Ho 3.49-3.55
Tb 0.0000 0.0000 0.7516  12 Ho 3.49-3.55
In 0.0000 0.0000 0.0000  12 Ho 3.46-3.49

Summary:
theoretical density: 8.8 Mg/m³
DOS(E_F): 18.98 states/eV/cell
raw total energy: -4.518 eV per atom
formation energy: -69 kJ/mol of formula units